Pm4NdCd2: relaxed, PBE.

Geometry as POSCAR:
```
Pm4NdCd2
1.0
2.766 -4.787 0.000
2.766 4.787 0.000
0.000 0.000 16.476
Pm Nd Cd
8 2 4
Direct
0.000 0.000 0.000
0.000 0.000 0.500
0.333 0.667 0.641
0.333 0.667 0.859
0.334 0.666 0.250
0.666 0.334 0.750
0.667 0.333 0.141
0.667 0.333 0.359
0.001 0.999 0.250
0.999 0.001 0.750
0.334 0.666 0.058
0.334 0.666 0.442
0.666 0.334 0.558
0.666 0.334 0.942
```

Calculated values
total magnetic moment	0.00	Bohr magnetons per cell
calculated density	7.22	Mg/m³
polymorph energy (0 for the lowest one)	0	meV/atom
E_form	-13.48	kJ per mole of atoms
total energy	-3.7969	eV/atom

=====

Mg2GaCuOs: relaxed, PBE.

Geometry as POSCAR:
```
Mg2GaCuOs
1.0
4.972 0.000 0.000
0.000 4.972 0.000
0.000 0.000 4.731
Mg Ga Cu Os
2 1 1 1
Direct
0.000 0.500 0.000
0.500 0.000 0.000
0.000 0.000 0.500
0.500 0.500 0.500
0.000 0.000 0.000
```

Calculated values
total magnetic moment	0.00	Bohr magnetons per cell
calculated density	5.28	Mg/m³
E_form	61.83	kJ per mole of atoms
total energy	-3.6676	eV/atom

=====

ZrNi2HRu: relaxed, PBE.

Geometry as POSCAR:
```
ZrNi2HRu
1.0
3.835 0.000 0.000
0.000 3.835 0.000
0.000 0.000 3.957
Zr Ni H Ru
1 2 1 1
Direct
0.000 0.000 0.000
0.000 0.500 0.500
0.500 0.000 0.500
0.500 0.500 0.500
0.500 0.500 0.000
```

Calculated values
total magnetic moment	0.00	Bohr magnetons per cell
calculated density	8.87	Mg/m³
polymorph energy (0 for the lowest one)	0	meV/atom
total energy	-6.8800	eV/atom

=====

La2YV: relaxed, PBE.

Geometry as POSCAR:
```
La2YV
1.0
-4.390 4.390 3.252
4.390 -4.390 3.252
4.390 4.390 -3.252
La Y V
4 2 2
Direct
0.069 0.125 0.444
0.375 0.931 0.056
0.681 0.625 0.556
0.875 0.319 0.944
0.250 0.750 0.500
0.500 0.500 0.000
0.000 0.000 0.000
0.750 0.250 0.500
```

Calculated values
total magnetic moment	5.71	Bohr magnetons per cell
calculated density	5.53	Mg/m³
polymorph energy (0 for the lowest one)	167	meV/atom
E_form	50.75	kJ per mole of atoms
total energy	-5.8334	eV/atom

=====

TaTi2Cl: relaxed, PBE.

Geometry as POSCAR:
```
TaTi2Cl
1.0
-3.706 3.706 2.524
3.706 -3.706 2.524
3.706 3.706 -2.524
Ta Ti Cl
2 4 2
Direct
0.000 0.000 0.000
0.750 0.250 0.500
0.207 0.125 0.582
0.375 0.793 0.918
0.543 0.625 0.418
0.875 0.457 0.082
0.250 0.750 0.500
0.500 0.500 0.000
```

Calculated values
total magnetic moment	0.00	Bohr magnetons per cell
calculated density	7.48	Mg/m³
polymorph energy (0 for the lowest one)	0	meV/atom
formation energy from raw total energies	0.25	eV/atom
total energy	-7.1227	eV/atom

=====

Hg2PtRh: relaxed, PBE.

Geometry as POSCAR:
```
Hg2PtRh
1.0
2.864 0.000 0.000
0.000 3.639 0.000
0.000 0.000 7.153
Hg Pt Rh
2 1 1
Direct
0.000 0.000 0.000
0.500 0.500 0.316
0.000 0.000 0.561
0.500 0.500 0.763
```

Calculated values
total magnetic moment	0.00	Bohr magnetons per cell
calculated density	15.58	Mg/m³
E_form	16.84	kJ per mole of atoms
total energy	-3.3244	eV/atom

=====

What is the formula in the third record?
ZrNi2HRu

=====

What is the calculated density in the fourth record?
5.53 Mg/m³

=====

What did the fifth record say?
TaTi2Cl: relaxed, PBE.

Geometry as POSCAR:
```
TaTi2Cl
1.0
-3.706 3.706 2.524
3.706 -3.706 2.524
3.706 3.706 -2.524
Ta Ti Cl
2 4 2
Direct
0.000 0.000 0.000
0.750 0.250 0.500
0.207 0.125 0.582
0.375 0.793 0.918
0.543 0.625 0.418
0.875 0.457 0.082
0.250 0.750 0.500
0.500 0.500 0.000
```

Calculated values
total magnetic moment	0.00	Bohr magnetons per cell
calculated density	7.48	Mg/m³
polymorph energy (0 for the lowest one)	0	meV/atom
formation energy from raw total energies	0.25	eV/atom
total energy	-7.1227	eV/atom

=====

The lowest total energy belongs to which entry?
TaTi2Cl